# 1
Tl2CdHgAu PBE optimized geometry; energy relative to the elements = 0.09 eV per formula unit; spin magnetization = 0.000 μB/f.u.; DOS(E_F) = 1.461 states/eV/f.u.; distance to the lowest polymorph of the same formula = 0.000 kcal/mol of atoms; VASP energy = -1.827 eV/atom
1.0
4.290 0.000 0.000
0.000 4.290 0.000
0.000 0.000 14.935
Tl Hg Cd Au
4 2 2 2
Cartesian
0.000 2.145 10.685 Tl
0.000 2.145 1.592 Tl
2.145 0.000 13.343 Tl
2.145 0.000 4.251 Tl
2.145 0.000 9.831 Hg
0.000 2.145 5.104 Hg
2.145 2.145 7.468 Cd
0.000 0.000 7.468 Cd
0.000 2.145 13.585 Au
2.145 0.000 1.350 Au

# 2
Ac5LaPr4 PBE optimized geometry; energy relative to the elements = 0.26 eV per formula unit; spin magnetization = 0.000 μB/f.u.; DOS(E_F) = 19.810 states/eV/f.u.; distance to the lowest polymorph of the same formula = 0.151 kcal/mol of atoms; VASP energy = -4.433 eV/atom
1.0
-2.651 -2.549 1.299
-1.263 -0.547 -3.650
17.563 -19.848 -3.106
Ac Pr La
5 4 1
Cartesian
6.824 -11.472 -2.728 Ac
3.330 -7.524 -2.111 Ac
-0.172 -3.566 -1.491 Ac
10.318 -15.421 -3.346 Ac
13.820 -19.379 -3.966 Ac
10.526 -11.896 -1.862 Pr
14.019 -15.844 -2.480 Pr
3.543 -4.004 -0.627 Pr
7.036 -7.952 -1.245 Pr
0.000 0.000 0.000 La

# 3
Cs2CeCl6 PBE optimized geometry; spin magnetization = 0.000 μB/f.u.; DOS(E_F) = 0.000 states/eV/f.u.; ΔE_f (raw) = -2.058 eV/atom; VASP energy = -4.138 eV/atom
1.0
6.253 0.000 0.000
0.000 7.654 0.000
0.000 3.827 6.629
Cl Ce Cs
6 1 2
Cartesian
4.792 5.752 1.098 Cl
1.460 7.654 2.197 Cl
4.792 3.827 4.431 Cl
1.460 5.729 5.530 Cl
1.460 9.579 5.530 Cl
4.792 1.902 1.098 Cl
0.000 0.000 0.000 Ce
1.662 3.827 2.209 Cs
4.591 7.654 4.419 Cs

# 4
Na3PrO3 PBE optimized geometry; spin magnetization = 0.000 μB/f.u.; ΔE_f (raw) = -1.910 eV/atom; VASP energy = -5.283 eV/atom
1.0
6.560 0.800 2.482
1.971 6.308 2.482
1.132 0.943 6.990
Pr O Na
2 6 6
Cartesian
7.667 6.388 10.676 Pr
1.996 1.663 1.277 Pr
1.243 3.367 2.825 O
9.313 7.759 10.224 O
6.126 7.436 9.128 O
0.350 0.291 1.729 O
8.420 4.683 9.128 O
3.536 0.615 2.825 O
6.175 2.412 5.977 Na
2.512 2.093 4.783 Na
3.487 5.638 5.977 Na
5.609 1.941 2.482 Na
2.922 5.167 2.482 Na
7.151 5.958 7.170 Na

# 5
LiVZn PBE optimized geometry; energy relative to the elements = 1.15 eV per formula unit; spin magnetization = 0.839 μB/f.u.; DOS(E_F) = 2.005 states/eV/f.u.; distance to the lowest polymorph of the same formula = 8.711 kcal/mol of atoms; VASP energy = -3.717 eV/atom
1.0
0.404 2.295 3.941
-4.064 -1.691 -1.257
1.045 -4.289 2.391
Li Zn V
2 2 2
Cartesian
-1.085 0.966 2.208 Li
-0.563 -1.178 3.403 Li
-1.790 -3.584 2.271 Zn
-2.315 -1.430 1.071 Zn
0.729 -2.993 1.669 V
0.316 -1.296 0.722 V

# 6
HfBiTe PBE optimized geometry; spin magnetization = 0.000 μB/f.u.; DOS(E_F) = 1.414 states/eV/f.u.; ΔE_f (raw) = -0.406 eV/atom; VASP energy = -6.065 eV/atom
1.0
-1.211 -1.570 3.174
-0.153 -1.914 -3.212
6.869 -2.702 1.284
Bi Te Hf
1 1 1
Cartesian
0.350 -0.138 0.065 Bi
3.595 -3.413 -0.317 Te
1.560 -2.636 1.497 Hf